Entry 1:
A geometry-optimized CdMoIO2 structure, computed with GGA+U.

Calculated values
* E above lowest polymorph: 0.00 eV per formula unit

a = 4.0392 Å, b = 4.0392 Å, c = 7.1668 Å
α = 90.00°, β = 90.00°, γ = 90.00°
Last column: nearest neighbours and their distance in Å.
Sites, in units of the cell vectors:
I 0.0000 0.0000 0.5000  4 Cd 2.86
O 0.0000 0.5000 0.0000  2 Mo 2.02
O 0.5000 0.0000 0.0000  2 Mo 2.02
Mo 0.0000 0.0000 0.0000  4 O 2.02
Cd 0.5000 0.5000 0.5000  4 I 2.86

Entry 2:
A geometry-optimized Cd2MoIO structure, computed with GGA+U.

Calculated values
* raw total energy: -1.796 eV/atom

a = 6.4767 Å, b = 5.6940 Å, c = 6.4767 Å
α = 90.00°, β = 90.00°, γ = 90.00°
Last column: nearest neighbours and their distance in Å.
Sites, in units of the cell vectors:
Cd 0.0000 0.0000 0.5000  2 I 3.24
Cd 0.5000 0.0000 0.0000  2 I 3.24
O 0.5000 0.5000 0.5000  8 Cd 4.31, 4 Mo 4.58
Mo 0.0000 0.5000 0.0000  2 I 2.85
I 0.0000 0.0000 0.0000  2 Mo 2.85

For each record above, in turn, the calculated calculated volume values are 23.39 47.77 Å³ per atom.